VASP calculation (GGA-PBE) on crystalline LaZnIn at its relaxed geometry.

Unit cell a=6.8105 b=6.8105 c=6.8105 alpha=141.91 beta=125.33 gamma=68.57
Last column: nearest neighbours and their distance in Å.
Positions (direct):
La 0.1927 0.1927 0.0000  4 Zn 3.10-3.25
La 0.8073 0.8073 0.0000  4 Zn 3.10-3.25
Zn 0.3854 0.8854 0.5000  1 Zn 2.58
Zn 0.6146 0.1146 0.5000  1 Zn 2.58
In 0.2517 0.5000 0.7517  4 Zn 3.00, 2 In 3.11-3.15
In 0.7483 0.5000 0.2483  4 Zn 3.00, 2 In 3.11-3.15

Properties
Volume: 26.1 Å³ per atom
DOS(E_F): 2.395 states/eV/f.u.
ΔH_f (0 K): -39.0 kJ/mol of atoms



VASP calculation (GGA-PBE) on crystalline SrCrMo at its relaxed geometry.

Unit cell a=3.2491 b=3.2491 c=7.0392 alpha=90.00 beta=90.00 gamma=120.00
Last column: nearest neighbours and their distance in Å.
Positions (direct):
Sr 0.0000 0.0000 0.0000  6 Sr 3.25, 3 Cr 3.31, 3 Mo 3.42
Cr 0.3333 0.6667 0.3867  3 Mo 2.38
Mo 0.6667 0.3333 0.5942  3 Cr 2.38

Properties
Volume: 21.5 Å³ per atom
DOS(E_F): 3.175 states/eV/f.u.
ΔE to the lowest computed polymorph: 0.265 eV/atom
ΔH_f (0 K): 94.2 kJ/mol of atoms



VASP calculation (GGA-PBE) on crystalline SmMgCuRh at its relaxed geometry.

Unit cell a=4.7621 b=4.7621 c=4.7621 alpha=60.00 beta=60.00 gamma=60.00
Last column: nearest neighbours and their distance in Å.
Positions (direct):
Sm 0.0000 0.0000 0.0000  4 Rh 2.92, 4 Cu 2.92
Mg 0.5000 0.5000 0.5000  4 Rh 2.92, 4 Cu 2.92
Cu 0.2500 0.2500 0.2500  4 Mg 2.92, 4 Sm 2.92
Rh 0.7500 0.7500 0.7500  4 Mg 2.92, 4 Sm 2.92

Properties
Volume: 19.1 Å³ per atom
DOS(E_F): 3.383 states/eV/f.u.
ΔH_f (0 K): -35.1 kJ/mol of atoms



VASP calculation (GGA-PBE) on crystalline ErSc2Ni3 at its relaxed geometry.

Unit cell a=3.2225 b=3.2225 c=9.7121 alpha=90.00 beta=90.00 gamma=90.00
Last column: nearest neighbours and their distance in Å.
Positions (direct):
Er 0.0000 0.0000 0.0000  8 Ni 2.90, 4 Er 3.22
Sc 0.0000 0.0000 0.3389  8 Ni 2.73-2.76
Sc 0.0000 0.0000 0.6611  8 Ni 2.73-2.76
Ni 0.5000 0.5000 0.1839  4 Sc 2.73, 4 Er 2.90
Ni 0.5000 0.5000 0.5000  8 Sc 2.76, 2 Ni 3.07
Ni 0.5000 0.5000 0.8161  4 Sc 2.73, 4 Er 2.90

Properties
Volume: 16.8 Å³ per atom
DOS(E_F): 4.081 states/eV/f.u.
ΔH_f (0 K): -45.5 kJ/mol of atoms



VASP calculation (GGA-PBE) on crystalline Y8Ag2Ru at its relaxed geometry.

Unit cell a=9.1115 b=9.1115 c=6.8718 alpha=107.22 beta=107.22 gamma=33.48
Last column: nearest neighbours and their distance in Å.
Positions (direct):
Y 0.0277 0.0277 0.2938  1 Ag 2.94, 2 Ru 3.09, 1 Y 3.27
Y 0.1979 0.1979 0.8049  1 Ag 2.89
Y 0.3402 0.3402 0.5324  1 Ru 2.86, 1 Ag 2.93
Y 0.4097 0.4097 0.0691  1 Ru 2.89
Y 0.5903 0.5903 0.9309  1 Ru 2.89
Y 0.6598 0.6598 0.4676  1 Ru 2.86, 1 Ag 2.93
Y 0.8021 0.8021 0.1951  1 Ag 2.89
Y 0.9723 0.9723 0.7062  1 Ag 2.94, 2 Ru 3.09, 1 Y 3.27
Ag 0.1836 0.1836 0.2130  3 Y 2.89-2.94
Ag 0.8164 0.8164 0.7870  3 Y 2.89-2.94
Ru 0.5000 0.5000 0.5000  8 Y 2.86-3.09

Properties
Volume: 27.2 Å³ per atom
DOS(E_F): 10.138 states/eV/f.u.
ΔE to the lowest computed polymorph: 0.000 eV/atom
ΔH_f (0 K): -19.1 kJ/mol of atoms



VASP calculation (GGA-PBE) on crystalline CeErH8Ir2 at its relaxed geometry.

Unit cell a=6.7261 b=6.7261 c=6.7261 alpha=41.91 beta=41.91 gamma=41.91
Last column: nearest neighbours and their distance in Å.
Positions (direct):
Ce 0.0000 0.0000 0.0000  6 H 2.33
Er 0.5000 0.5000 0.5000  6 H 2.35
H 0.0372 0.3868 0.9017  1 Ir 1.67
H 0.0983 0.9628 0.6132  1 Ir 1.67
H 0.3279 0.3279 0.3279  1 Ir 1.62
H 0.3868 0.9017 0.0372  1 Ir 1.67
H 0.6132 0.0983 0.9628  1 Ir 1.67
H 0.6721 0.6721 0.6721  1 Ir 1.62
H 0.9017 0.0372 0.3868  1 Ir 1.67
H 0.9628 0.6132 0.0983  1 Ir 1.67
Ir 0.2396 0.2396 0.2396  4 H 1.62-1.67
Ir 0.7604 0.7604 0.7604  4 H 1.62-1.67

Properties
Calculated total energy: -4.859 eV/atom
Volume: 10.2 Å³ per atom
DOS(E_F): 5.201 states/eV/f.u.



VASP calculation (GGA-PBE) on crystalline Ca3Sm3AgS8 at its relaxed geometry.

Unit cell a=8.0374 b=8.0374 c=8.0374 alpha=59.88 beta=59.88 gamma=59.88
Last column: nearest neighbours and their distance in Å.
Positions (direct):
Ca 0.0000 0.5000 0.5000  6 S 2.85-2.88
Ca 0.5000 0.0000 0.5000  6 S 2.85-2.88
Ca 0.5000 0.5000 0.0000  6 S 2.85-2.88
Sm 0.0000 0.0000 0.5000  6 S 2.80-2.83
Sm 0.0000 0.5000 0.0000  6 S 2.80-2.83
Sm 0.5000 0.0000 0.0000  6 S 2.80-2.83
Ag 0.5000 0.5000 0.5000  6 S 2.85
S 0.2431 0.7506 0.7506  2 Sm 2.80, 1 Ag 2.85, 2 Ca 2.88
S 0.2494 0.2494 0.2494  3 Sm 2.83, 3 Ca 2.85
S 0.2494 0.2494 0.7569  2 Sm 2.80, 1 Ag 2.85, 2 Ca 2.88
S 0.2494 0.7569 0.2494  2 Sm 2.80, 1 Ag 2.85, 2 Ca 2.88
S 0.7506 0.2431 0.7506  2 Sm 2.80, 1 Ag 2.85, 2 Ca 2.88
S 0.7506 0.7506 0.2431  2 Sm 2.80, 1 Ag 2.85, 2 Ca 2.88
S 0.7506 0.7506 0.7506  3 Sm 2.83, 3 Ca 2.85
S 0.7569 0.2494 0.2494  2 Sm 2.80, 1 Ag 2.85, 2 Ca 2.88

Properties
Formation energy from raw total energies: -1795 meV/atom
Volume: 24.4 Å³ per atom
DOS(E_F): 0.965 states/eV/f.u.



VASP calculation (GGA-PBE) on crystalline NaCa3Sc at its relaxed geometry.

Unit cell a=6.1464 b=6.1464 c=6.1464 alpha=90.00 beta=90.00 gamma=90.00
Last column: nearest neighbours and their distance in Å.
Positions (direct):
Na 0.0000 0.0000 0.0000  12 Ca 4.35
Ca 0.0000 0.5000 0.5000  2 Sc 3.07
Ca 0.5000 0.0000 0.5000  2 Sc 3.07
Ca 0.5000 0.5000 0.0000  2 Sc 3.07
Sc 0.5000 0.5000 0.5000  6 Ca 3.07

Properties
Volume: 46.4 Å³ per atom
DOS(E_F): 3.963 states/eV/f.u.
ΔE to the lowest computed polymorph: 0.000 eV/atom
ΔH_f (0 K): 58.7 kJ/mol of atoms



VASP calculation (GGA-PBE) on crystalline Ni4Ir at its relaxed geometry.

Unit cell a=4.4924 b=4.4924 c=4.4924 alpha=90.00 beta=90.00 gamma=90.00
Last column: nearest neighbours and their distance in Å.
Positions (direct):
Ni 0.0000 0.0000 0.0000  12 Ni 3.18
Ni 0.0000 0.5000 0.5000  2 Ir 2.25
Ni 0.5000 0.0000 0.5000  2 Ir 2.25
Ni 0.5000 0.5000 0.0000  2 Ir 2.25
Ir 0.5000 0.5000 0.5000  6 Ni 2.25

Properties
Volume: 18.1 Å³ per atom
DOS(E_F): 15.440 states/eV/f.u.
ΔE to the lowest computed polymorph: 1.503 eV/atom
ΔH_f (0 K): 145.8 kJ/mol of atoms



VASP calculation (GGA-PBE) on crystalline K3Tl3Hg8 at its relaxed geometry.

Unit cell a=9.9371 b=9.9371 c=9.9371 alpha=148.50 beta=117.86 gamma=71.34
Last column: nearest neighbours and their distance in Å.
Positions (direct):
K 0.0000 0.0000 0.0000  12 Hg 3.82-4.06, 4 Tl 4.21
K 0.2878 0.2878 0.0000  12 Hg 3.60-3.77, 2 Tl 3.92
K 0.7122 0.7122 0.0000  12 Hg 3.60-3.77, 2 Tl 3.92
Tl 0.3148 0.5000 0.8148  2 Hg 3.16, 2 Tl 3.30
Tl 0.5000 0.0000 0.5000  4 Hg 3.19, 4 Tl 3.30
Tl 0.6852 0.5000 0.1852  2 Hg 3.16, 2 Tl 3.30
Hg 0.0172 0.6637 0.3535  4 Hg 3.01-3.12, 1 Tl 3.16
Hg 0.1456 0.8533 0.2923  3 Hg 3.10-3.12, 1 Tl 3.19
Hg 0.3103 0.6637 0.6465  4 Hg 3.01-3.12, 1 Tl 3.16
Hg 0.4389 0.1467 0.2923  3 Hg 3.10-3.12, 1 Tl 3.19
Hg 0.5611 0.8533 0.7077  3 Hg 3.10-3.12, 1 Tl 3.19
Hg 0.6897 0.3363 0.3535  4 Hg 3.01-3.12, 1 Tl 3.16
Hg 0.8544 0.1467 0.7077  3 Hg 3.10-3.12, 1 Tl 3.19
Hg 0.9828 0.3363 0.6465  4 Hg 3.01-3.12, 1 Tl 3.16

Properties
Volume: 31.9 Å³ per atom
DOS(E_F): 6.208 states/eV/f.u.
ΔH_f (0 K): -18.4 kJ/mol of atoms



VASP calculation (GGA-PBE) on crystalline SrAc8Pm6 at its relaxed geometry.

Unit cell a=9.2932 b=9.2932 c=9.2932 alpha=67.15 beta=67.15 gamma=67.15
Last column: nearest neighbours and their distance in Å.
Positions (direct):
Sr 0.0000 0.0000 0.0000  6 Pm 3.75, 6 Ac 4.10
Ac 0.1373 0.8150 0.4206  4 Pm 3.56-3.97, 4 Ac 3.84-3.94
Ac 0.1850 0.5794 0.8627  4 Pm 3.56-3.97, 4 Ac 3.84-3.94
Ac 0.2641 0.2641 0.2641  6 Pm 3.64-3.84, 3 Ac 3.87
Ac 0.4206 0.1373 0.8150  4 Pm 3.56-3.97, 4 Ac 3.84-3.94
Ac 0.5794 0.8627 0.1850  4 Pm 3.56-3.97, 4 Ac 3.84-3.94
Ac 0.7359 0.7359 0.7359  6 Pm 3.64-3.84, 3 Ac 3.87
Ac 0.8150 0.4206 0.1373  4 Pm 3.56-3.97, 4 Ac 3.84-3.94
Ac 0.8627 0.1850 0.5794  4 Pm 3.56-3.97, 4 Ac 3.84-3.94
Pm 0.0709 0.3773 0.6674  1 Pm 3.46, 5 Ac 3.56-3.84, 1 Sr 3.75
Pm 0.3326 0.9291 0.6227  1 Pm 3.46, 5 Ac 3.56-3.84, 1 Sr 3.75
Pm 0.3773 0.6674 0.0709  1 Pm 3.46, 5 Ac 3.56-3.84, 1 Sr 3.75
Pm 0.6227 0.3326 0.9291  1 Pm 3.46, 5 Ac 3.56-3.84, 1 Sr 3.75
Pm 0.6674 0.0709 0.3773  1 Pm 3.46, 5 Ac 3.56-3.84, 1 Sr 3.75
Pm 0.9291 0.6227 0.3326  1 Pm 3.46, 5 Ac 3.56-3.84, 1 Sr 3.75

Properties
Volume: 43.6 Å³ per atom
DOS(E_F): 23.079 states/eV/f.u.
ΔH_f (0 K): 23.9 kJ/mol of atoms



VASP calculation (GGA-PBE) on crystalline HfScNi2C at its relaxed geometry.

Unit cell a=4.6069 b=4.6069 c=4.1964 alpha=90.00 beta=90.00 gamma=90.00
Last column: nearest neighbours and their distance in Å.
Positions (direct):
Hf 0.0000 0.0000 0.0000  2 C 2.10, 4 Ni 2.30
Sc 0.5000 0.5000 0.5000  8 Ni 3.12, 4 C 3.26
Ni 0.0000 0.5000 0.0000  2 Hf 2.30
Ni 0.5000 0.0000 0.0000  2 Hf 2.30
C 0.0000 0.0000 0.5000  2 Hf 2.10

Properties
Volume: 17.8 Å³ per atom
DOS(E_F): 3.643 states/eV/f.u.
ΔH_f (0 K): 83.2 kJ/mol of atoms



VASP calculation (GGA-PBE) on crystalline AsPF2 at its relaxed geometry.

Unit cell a=8.8791 b=8.8791 c=8.8791 alpha=18.17 beta=18.17 gamma=18.17
Last column: nearest neighbours and their distance in Å.
Positions (direct):
As 0.0000 0.0000 0.0000  2 F 1.88
P 0.5000 0.5000 0.5000  6 P 2.80, 6 F 2.97
F 0.0718 0.0718 0.0718  1 As 1.88
F 0.9282 0.9282 0.9282  1 As 1.88

Properties
Formation energy from raw total energies: -660 meV/atom
Volume: 14.9 Å³ per atom
DOS(E_F): 1.491 states/eV/f.u.
ΔE to the lowest computed polymorph: 0.300 eV/atom



VASP calculation (GGA-PBE) on crystalline Ac3TlAg at its relaxed geometry.

Unit cell a=11.2159 b=11.2159 c=5.7354 alpha=90.00 beta=90.00 gamma=150.26
Last column: nearest neighbours and their distance in Å.
Positions (direct):
Ac 0.0621 0.9379 0.7500  2 Tl 3.50, 2 Ag 3.52
Ac 0.2481 0.7519 0.7500  4 Ag 3.51-3.55, 4 Tl 3.51-3.57
Ac 0.4325 0.5675 0.7500  2 Tl 3.44, 2 Ag 3.44
Ac 0.5675 0.4325 0.2500  2 Tl 3.44, 2 Ag 3.44
Ac 0.7519 0.2481 0.2500  4 Ag 3.51-3.55, 4 Tl 3.51-3.57
Ac 0.9379 0.0621 0.2500  2 Tl 3.50, 2 Ag 3.52
Tl 0.1545 0.8455 0.2500  8 Ac 3.44-3.57
Tl 0.8455 0.1545 0.7500  8 Ac 3.44-3.57
Ag 0.3447 0.6553 0.2500  8 Ac 3.44-3.55
Ag 0.6553 0.3447 0.7500  8 Ac 3.44-3.55

Properties
Volume: 35.8 Å³ per atom
DOS(E_F): 6.717 states/eV/f.u.
ΔE to the lowest computed polymorph: 0.000 eV/atom
ΔH_f (0 K): -21.8 kJ/mol of atoms



VASP calculation (GGA-PBE) on crystalline LaEr5 at its relaxed geometry.

Unit cell a=7.9471 b=7.9471 c=5.0290 alpha=90.00 beta=90.00 gamma=143.21
Last column: nearest neighbours and their distance in Å.
Positions (direct):
La 0.0000 0.0000 0.0000  12 Er 3.55-3.58
Er 0.1682 0.8318 0.5000  10 Er 3.51-3.57, 2 La 3.57
Er 0.3303 0.6697 0.0000  10 Er 3.49-3.59, 2 La 3.58
Er 0.5000 0.5000 0.5000  4 La 3.55, 8 Er 3.57-3.59
Er 0.6697 0.3303 0.0000  10 Er 3.49-3.59, 2 La 3.58
Er 0.8318 0.1682 0.5000  10 Er 3.51-3.57, 2 La 3.57

Properties
Volume: 31.7 Å³ per atom
DOS(E_F): 9.150 states/eV/f.u.
ΔE to the lowest computed polymorph: 0.016 eV/atom
ΔH_f (0 K): 3.4 kJ/mol of atoms



VASP calculation (GGA-PBE) on crystalline CeErGa4 at its relaxed geometry.

Unit cell a=7.9208 b=7.9208 c=7.9208 alpha=149.32 beta=149.32 gamma=43.94
Last column: nearest neighbours and their distance in Å.
Positions (direct):
Ce 0.0000 0.0000 0.0000  12 Ga 3.21-3.24
Er 0.7500 0.2500 0.5000  12 Ga 3.20-3.22
Ga 0.1678 0.6678 0.5000  3 Ga 2.41-2.43
Ga 0.3322 0.8322 0.5000  3 Ga 2.41-2.43
Ga 0.4164 0.4164 0.0000  3 Ga 2.43-2.46
Ga 0.5836 0.5836 0.0000  3 Ga 2.43-2.46

Properties
Volume: 21.5 Å³ per atom
DOS(E_F): 6.524 states/eV/f.u.
ΔE to the lowest computed polymorph: 0.011 eV/atom
ΔH_f (0 K): -57.4 kJ/mol of atoms



VASP calculation (GGA-PBE) on crystalline NaSrSI2 at its relaxed geometry.

Unit cell a=6.6701 b=6.6701 c=5.2871 alpha=90.00 beta=90.00 gamma=90.00
Last column: nearest neighbours and their distance in Å.
Positions (direct):
Na 0.0000 0.0000 0.0000  8 I 4.26, 4 Sr 4.72
Sr 0.5000 0.5000 0.0000  2 S 2.64
S 0.5000 0.5000 0.5000  2 Sr 2.64
I 0.0000 0.5000 0.5000  2 S 3.34
I 0.5000 0.0000 0.5000  2 S 3.34

Properties
Formation energy from raw total energies: -628 meV/atom
Volume: 47.0 Å³ per atom
DOS(E_F): 2.175 states/eV/f.u.



VASP calculation (GGA-PBE) on crystalline Co2HgPb at its relaxed geometry.

Unit cell a=4.5290 b=4.5290 c=3.2384 alpha=90.00 beta=90.00 gamma=90.00
Last column: nearest neighbours and their distance in Å.
Positions (direct):
Co 0.0000 0.5000 0.0000  4 Pb 2.78, 4 Hg 2.78
Co 0.5000 0.0000 0.0000  4 Pb 2.78, 4 Hg 2.78
Hg 0.0000 0.0000 0.5000  8 Co 2.78
Pb 0.5000 0.5000 0.5000  8 Co 2.78

Properties
Volume: 16.6 Å³ per atom
DOS(E_F): 5.748 states/eV/f.u.
ΔE to the lowest computed polymorph: 0.195 eV/atom
ΔH_f (0 K): 52.9 kJ/mol of atoms



VASP calculation (GGA-PBE) on crystalline Ti2TeIr at its relaxed geometry.

Unit cell a=5.8939 b=5.8939 c=5.8939 alpha=103.91 beta=103.91 gamma=121.28
Last column: nearest neighbours and their distance in Å.
Positions (direct):
Ti 0.0911 0.6250 0.9661  2 Ir 2.51
Ti 0.3750 0.3411 0.4661  2 Ir 2.51
Ti 0.6589 0.1250 0.0339  2 Ir 2.51
Ti 0.8750 0.9089 0.5339  2 Ir 2.51
Te 0.2500 0.7500 0.5000  4 Ti 2.84, 2 Ir 2.89
Te 0.5000 0.5000 0.0000  4 Ti 2.84, 2 Ir 2.89
Ir 0.0000 0.0000 0.0000  4 Ti 2.51
Ir 0.7500 0.2500 0.5000  4 Ti 2.51

Properties
Formation energy from raw total energies: -243 meV/atom
Volume: 19.1 Å³ per atom
DOS(E_F): 3.119 states/eV/f.u.



VASP calculation (GGA-PBE) on crystalline TlPd2F at its relaxed geometry.

Unit cell a=4.5313 b=4.5313 c=4.5313 alpha=60.00 beta=60.00 gamma=60.00
Last column: nearest neighbours and their distance in Å.
Positions (direct):
Tl 0.0000 0.0000 0.0000  8 Pd 2.77
Pd 0.2500 0.2500 0.2500  4 Tl 2.77, 4 F 2.77
Pd 0.7500 0.7500 0.7500  4 Tl 2.77, 4 F 2.77
F 0.5000 0.5000 0.5000  8 Pd 2.77

Properties
Formation energy from raw total energies: -389 meV/atom
Volume: 16.4 Å³ per atom
DOS(E_F): 0.544 states/eV/f.u.
ΔE to the lowest computed polymorph: 0.035 eV/atom